VASP calculation (PBE+U) on a relaxed structure of K3Np2CoO9.

For the total magnetization, the calculation gives 0.267 μB per atom. The electronic total energy comes out at -7.519 eV per atom.

The structure belongs to space group P-3m1 (No. 164); the cell edges are 5.9070, 5.9070 and 7.2614 Å and the angles 90.00°, 90.00° and 120.00°. The inequivalent atoms are K at (0.0000, 0.0000, 0.0000), K at (0.3333, 0.6667, 0.6572), Np at (0.3333, 0.6667, 0.1768), Co at (0.0000, 0.0000, 0.5000), O at (0.0000, 0.5000, 0.0000) and O at (0.1715, 0.3431, 0.3294).